# HRh2WF, relaxed, DFT PBE+U
data_HRh2WF
_cell_length_a 3.709
_cell_length_b 3.709
_cell_length_c 4.594
_cell_angle_alpha 90.00
_cell_angle_beta 90.00
_cell_angle_gamma 90.00
_symmetry_space_group_name_H-M 'P 4/m m m'
_symmetry_Int_Tables_number 123
_symmetry_space_group_name_Hall '-P 4 2'
loop_
_atom_site_label
_atom_site_type_symbol
_atom_site_fract_x
_atom_site_fract_y
_atom_site_fract_z
H1 H 0.000 0.000 0.000
Rh1 Rh 0.000 0.500 0.000
W1 W 0.500 0.500 0.500
F1 F 0.000 0.000 0.500
# DFT total energy   -26.25 eV per cell
# Total magnetization   1.920 μB per cell